(1)
GGA-PBEsol Na5Cr3F14, optimized geometry; electronic total energy = -5.669 eV/atom; calculated volume = 270 Å³/f.u.
1.0
7.155 0.000 0.000
0.000 7.215 -0.019
0.000 0.121 10.471
Na Cr F
10 6 28
Cartesian
1.376 5.357 2.593
3.578 3.607 -0.010
5.517 2.015 2.485
2.202 1.810 7.838
1.639 5.322 7.966
5.780 1.979 7.858
1.939 1.653 2.740
0.000 0.061 5.235
5.216 5.683 7.711
4.954 5.526 2.613
0.000 0.000 0.000
0.000 3.668 5.226
3.578 3.668 5.226
0.000 3.607 -0.010
3.578 0.061 5.235
3.578 0.000 0.000
6.689 4.915 3.872
3.517 5.872 9.238
5.353 3.152 5.702
6.535 1.915 10.441
1.803 4.184 4.749
2.402 7.017 6.679
0.621 5.421 0.010
4.753 0.320 3.772
7.095 5.132 6.439
1.775 0.637 9.994
5.380 6.699 0.457
2.102 6.967 4.059
5.980 3.988 8.998
3.914 3.513 3.377
0.466 2.421 6.579
3.638 1.464 1.214
5.680 3.916 1.147
3.241 3.823 7.074
1.175 3.348 1.454
4.199 5.462 5.196
0.061 2.204 4.012
4.044 1.368 9.117
0.336 0.155 1.849
5.053 0.369 6.392
6.819 7.181 8.603
1.475 3.420 9.304
3.111 5.968 1.334
2.957 1.875 5.255



(2)
GGA-PBEsol LaTlRe, optimized geometry; electronic total energy = -5.670 eV/atom; formation energy = 1.433 eV per atom; energy relative to the lowest polymorph listed for this composition = 399 meV/atom; calculated volume = 84 Å³/f.u.
1.0
4.908 0.000 0.000
2.454 4.251 0.000
2.454 1.417 4.008
La Re Tl
1 1 1
Cartesian
2.454 1.417 1.002
0.000 0.000 0.000
4.908 2.834 2.004



(3)
GGA-PBEsol Cu2PPbW, optimized geometry; electronic total energy = -5.634 eV/atom; formation energy = 0.819 eV per atom; calculated volume = 104 Å³/f.u.
1.0
-1.962 -2.073 3.563
-3.578 -1.431 -2.802
2.389 -3.997 -1.010
Pb P Cu W
1 1 2 1
Cartesian
-1.575 -3.750 -0.125
-0.981 -1.037 1.782
1.195 -1.998 -0.505
-1.789 -0.715 -1.401
0.000 0.000 0.000